Entry 1:
Nd5Dy3Se8 after structural relaxation. Source: Alexandria via LeMat-Bulk, functional GGA-PBE.

The structure in CIF format:
```
data_Nd5Dy3Se8
_cell_length_a 8.3027
_cell_length_b 8.3027
_cell_length_c 20.6826
_cell_angle_alpha 90.00
_cell_angle_beta 90.00
_cell_angle_gamma 120.00
_space_group_name_H-M_alt 'R -3 m'
_space_group_IT_number 166
_space_group_name_Hall '-R 3 2"'
loop_
_atom_site_label
_atom_site_fract_x
_atom_site_fract_y
_atom_site_fract_z
Nd1 0.0000 0.0000 0.0000
Nd2 0.0000 0.0000 0.5000
Nd3 0.0000 0.5000 0.0000
Dy1 0.0000 0.5000 0.5000
Se1 0.0000 0.0000 0.2450
Se2 0.0067 0.5034 0.7535
```

Entry 2:
Nd4DySe5 after structural relaxation. Source: Alexandria via LeMat-Bulk, functional GGA-PBE.

The structure in CIF format:
```
data_Nd4DySe5
_cell_length_a 4.194
_cell_length_b 4.194
_cell_length_c 29.834
_cell_angle_alpha 90.00
_cell_angle_beta 90.00
_cell_angle_gamma 90.00
_space_group_name_H-M_alt 'I 4/m m m'
_space_group_IT_number 139
_space_group_name_Hall '-I 4 2'
loop_
_atom_site_label
_atom_site_fract_x
_atom_site_fract_y
_atom_site_fract_z
Nd1 0.000 0.000 0.102
Nd2 0.000 0.000 0.305
Dy1 0.000 0.000 0.500
Se1 0.000 0.000 0.000
Se2 0.000 0.000 0.203
Se3 0.000 0.000 0.404
```

Entry 3:
# GGA-PBE NdDy3Se4, relaxed
# energy above the lowest structure with this stoichiometry	0	meV/atom
data_NdDy3Se4
_cell_length_a 4.0964
_cell_length_b 4.0964
_cell_length_c 40.6694
_cell_angle_alpha 90.00
_cell_angle_beta 90.00
_cell_angle_gamma 120.00
_space_group_name_H-M_alt 'R -3 m'
_space_group_IT_number 166
_space_group_name_Hall '-R 3 2"'
loop_
_atom_site_label
_atom_site_fract_x
_atom_site_fract_y
_atom_site_fract_z
Nd1 0.0000 0.0000 0.0000
Dy1 0.0000 0.0000 0.2485
Dy2 0.0000 0.0000 0.5000
Se1 0.0000 0.0000 0.1259
Se2 0.0000 0.0000 0.3784

Entry 4:
Nd4DySe6 after structural relaxation. Source: Alexandria via LeMat-Bulk, functional GGA-PBE.

The structure in CIF format:
```
data_Nd4DySe6
_cell_length_a 11.8960
_cell_length_b 11.8960
_cell_length_c 14.1633
_cell_angle_alpha 90.00
_cell_angle_beta 90.00
_cell_angle_gamma 120.00
_space_group_name_H-M_alt 'R -3 c'
_space_group_IT_number 167
_space_group_name_Hall '-R 3 2"c'
loop_
_atom_site_label
_atom_site_fract_x
_atom_site_fract_y
_atom_site_fract_z
Nd1 0.0000 0.0000 0.2500
Nd2 0.0000 0.3857 0.2500
Dy1 0.0000 0.0000 0.0000
Se1 0.0300 0.2047 0.3859
```

Entry 5:
# GGA-PBE NdDySe3, relaxed
# energy above the lowest structure with this stoichiometry	0	meV/atom
data_NdDySe3
_cell_length_a 7.750
_cell_length_b 4.150
_cell_length_c 16.130
_cell_angle_alpha 90.00
_cell_angle_beta 90.00
_cell_angle_gamma 90.00
_space_group_name_H-M_alt 'P n m a'
_space_group_IT_number 62
loop_
_space_group_symop_operation_xyz
'x,y,z'
'-x,-y,-z'
'-x+1/2,-y,z+1/2'
'x+1/2,y,-z+1/2'
'x+1/2,-y+1/2,-z+1/2'
'-x+1/2,y+1/2,z+1/2'
'-x,y+1/2,-z'
'x,-y+1/2,z'
loop_
_atom_site_label
_atom_site_fract_x
_atom_site_fract_y
_atom_site_fract_z
Nd1 0.140 0.250 0.201
Dy1 0.230 0.750 0.457
Se1 0.009 0.250 0.394
Se2 0.122 0.750 0.063
Se3 0.151 0.250 0.784

Entry 6:
Nd3Dy5Se12 after structural relaxation. Source: Alexandria via LeMat-Bulk, functional GGA-PBE.

The structure in CIF format:
```
data_Nd3Dy5Se12
_cell_length_a 17.010
_cell_length_b 17.010
_cell_length_c 17.010
_cell_angle_alpha 90.00
_cell_angle_beta 90.00
_cell_angle_gamma 90.00
_space_group_name_H-M_alt 'I a -3 d'
_space_group_IT_number 230
_space_group_name_Hall '-I 4bd 2c 3'
loop_
_atom_site_label
_atom_site_fract_x
_atom_site_fract_y
_atom_site_fract_z
Nd1 0.000 0.250 0.125
Dy1 0.000 0.000 0.000
Dy2 0.000 0.250 0.375
Se1 0.022 0.069 0.652
```

Formation energy without anion corrections, record by record: -1.801, -1.814, -1.771, -1.736, -1.892, -1.712 eV/atom